Below is a geometry-optimized Na2GeBr structure, with properties calculated at the PBE-GGA level.

a b c (Å): 5.351 5.351 5.351
angles (deg): 60.00 60.00 60.00
Positions (direct):
Na (0.750, 0.750, 0.750)
Br (0.500, 0.500, 0.500)
Ge (0.000, 0.000, 0.000)
Na (0.250, 0.250, 0.250)

Calculated values
DOS at the Fermi energy	1.562	states/eV/atom
ΔE_f (raw)	-184.2	meV per atom
ρ	3.0	g cm⁻³
offset from the most stable computed form	0.53	eV/f.u.
V	108.34	Å³/cell
magnetization	2.31	μB per formula unit